# 1
Here is a relaxed TaGaSN2 crystal from Alexandria via LeMat-Bulk. Energies are from GGA-PBE.

Lattice parameters (Å, degrees): 3.9980 3.9980 5.1864 90.00 90.00 90.00
Space group P4/mmm (No. 123)
Inequivalent atoms, fractional coordinates:
Ta  0.0000  0.0000  0.0000
Ga  0.5000  0.5000  0.5000
S  0.0000  0.0000  0.5000
N  0.0000  0.5000  0.0000

## Properties
Raw formation energy (eV per atom): 0.06
Volume (Å³/cell): 82.9


# 2
Here is a relaxed TaGaS2N crystal from Alexandria via LeMat-Bulk. Energies are from GGA-PBE.

Lattice parameters (Å, degrees): 4.9387 4.9387 3.9570 90.00 90.00 90.00
Space group P4/mmm (No. 123)
Inequivalent atoms, fractional coordinates:
Ta  0.0000  0.0000  0.0000
Ga  0.5000  0.5000  0.5000
S  0.0000  0.5000  0.0000
N  0.0000  0.0000  0.5000

## Properties
Raw formation energy (eV per atom): -0.21
Volume (Å³/cell): 96.5


# 3
Here is a relaxed TaGaS2N crystal from Alexandria via LeMat-Bulk. Energies are from GGA-PBE.

Lattice parameters (Å, degrees): 4.7451 4.7451 3.5361 90.00 90.00 90.00
Space group P4/mmm (No. 123)
Inequivalent atoms, fractional coordinates:
Ta  0.0000  0.0000  0.0000
Ga  0.5000  0.5000  0.5000
S  0.0000  0.5000  0.5000
N  0.5000  0.5000  0.0000

## Properties
Raw formation energy (eV per atom): 0.79
Volume (Å³/cell): 79.6


# 4
Here is a relaxed TaGaSN2 crystal from Alexandria via LeMat-Bulk. Energies are from GGA-PBE.

Lattice parameters (Å, degrees): 3.7769 3.7769 4.6836 90.00 90.00 90.00
Space group P4/mmm (No. 123)
Inequivalent atoms, fractional coordinates:
Ta  0.0000  0.0000  0.0000
Ga  0.5000  0.5000  0.5000
S  0.5000  0.5000  0.0000
N  0.0000  0.5000  0.5000

## Properties
Raw formation energy (eV per atom): 1.07
Volume (Å³/cell): 66.8


# 5
Here is a relaxed GaTcS2N crystal from Alexandria via LeMat-Bulk. Energies are from GGA-PBE.

Lattice parameters (Å, degrees): 4.8514 4.8514 3.6328 90.00 90.00 90.00
Space group P4/mmm (No. 123)
Inequivalent atoms, fractional coordinates:
Ga  0.0000  0.0000  0.0000
Tc  0.5000  0.5000  0.5000
S  0.0000  0.5000  0.0000
N  0.0000  0.0000  0.5000

## Properties
Raw formation energy (eV per atom): 1.06
Volume (Å³/cell): 85.5


# 6
Here is a relaxed GaTcS2N crystal from Alexandria via LeMat-Bulk. Energies are from GGA-PBE.

Lattice parameters (Å, degrees): 4.5263 4.5263 5.1435 90.00 90.00 90.00
Space group P4/mmm (No. 123)
Inequivalent atoms, fractional coordinates:
Ga  0.0000  0.0000  0.0000
Tc  0.0000  0.0000  0.5000
S  0.0000  0.5000  0.5000
N  0.5000  0.5000  0.0000

## Properties
Raw formation energy (eV per atom): 1.02
Volume (Å³/cell): 105.4


# 7
Here is a relaxed GaTcS2N crystal from Alexandria via LeMat-Bulk. Energies are from GGA-PBE.

Lattice parameters (Å, degrees): 4.8457 4.8457 3.7238 90.00 90.00 90.00
Space group P4/mmm (No. 123)
Inequivalent atoms, fractional coordinates:
Ga  0.0000  0.0000  0.0000
Tc  0.5000  0.5000  0.5000
S  0.0000  0.5000  0.5000
N  0.5000  0.5000  0.0000

## Properties
Raw formation energy (eV per atom): 0.19
Volume (Å³/cell): 87.4


# 8
Here is a relaxed GaTcSN2 crystal from Alexandria via LeMat-Bulk. Energies are from GGA-PBE.

Lattice parameters (Å, degrees): 3.8263 3.8263 5.1424 90.00 90.00 90.00
Space group P4/mmm (No. 123)
Inequivalent atoms, fractional coordinates:
Ga  0.0000  0.0000  0.0000
Tc  0.5000  0.5000  0.5000
S  0.5000  0.5000  0.0000
N  0.0000  0.5000  0.5000

## Properties
Raw formation energy (eV per atom): 0.42
Volume (Å³/cell): 75.3